1.
A relaxed Na2Pa2PtS6 crystal. Source: the Alexandria database, functional PBE-GGA.

Computed properties:
* formation energy without anion corrections: -1.26 eV/atom
* crystal system: monoclinic
* M_tot: 0.000 μB/f.u.
* space-group type: No. 12

```
Na2Pa2PtS6
1.0
3.1845 -6.5246 0.0000
3.1845 6.5246 0.0000
-1.6471 0.0000 6.7426
Na Pa Pt S
2 2 1 6
direct
0.1423 0.8577 0.0000
0.8577 0.1423 0.0000
0.3432 0.6568 0.5000
0.6568 0.3432 0.5000
0.0000 0.0000 0.5000
0.0450 0.4598 0.7332
0.2505 0.2505 0.3049
0.4598 0.0450 0.7332
0.5402 0.9550 0.2668
0.7495 0.7495 0.6951
0.9550 0.5402 0.2668
```



2.
A relaxed SmThAl crystal. Source: the Alexandria database, functional PBE-GGA.

Computed properties:
* formation enthalpy at 0 K: 0.092 eV/atom
* crystal system: trigonal
* M_tot: 0.000 μB/f.u.
* space-group type: No. 156
* distance to the lowest polymorph of the same formula: 230 meV/atom

```
SmThAl
1.0
5.3423 0.0000 0.0000
-2.6711 4.6265 0.0000
0.0000 0.0000 3.1915
Sm Th Al
1 1 1
direct
0.0000 0.0000 0.0000
0.3333 0.6667 0.0065
0.6667 0.3333 0.5053
```



Calculated calculated volume (Å³ per cell), listed in the same order as above: 280; 79